No. 1
Ac5DyAg6: relaxed, PBE-GGA.

## Properties
* ΔH_f (0 K): -254 meV/atom
* space group: C2/m (12)
* density: 9.00 g/cm3
* final energy: -3.78 eV per atom

Cell and atoms, written as POSCAR:
```
Ac5DyAg6
1.0
5.331 -0.008 -1.497
-3.998 7.736 -4.017
-0.211 -1.131 9.521
Ag Ac Dy
6 5 1
Direct
0.724 0.225 0.225
0.236 0.078 0.394
0.764 0.606 0.922
0.236 0.394 0.078
0.276 0.775 0.775
0.764 0.922 0.606
0.000 0.336 0.664
0.500 0.831 0.169
0.000 0.664 0.336
0.500 0.500 0.500
0.500 0.169 0.831
0.000 0.000 0.000
```


No. 2
CaCu9Sn2: relaxed, PBE-GGA.

## Properties
* energy relative to the lowest polymorph listed for this composition: 40 meV per atom
* ΔH_f (0 K): -70 meV/atom
* space group: R-3m (166)
* density: 7.67 g/cm3
* final energy: -3.98 eV per atom

Cell and atoms, written as POSCAR:
```
CaCu9Sn2
1.0
-3.312 3.879 -0.200
-2.925 1.070 4.044
3.666 6.699 4.100
Cu Sn Ca
9 2 1
Direct
0.415 0.919 0.251
0.415 0.415 0.251
0.666 0.666 0.001
0.585 0.585 0.749
0.081 0.585 0.749
0.500 0.500 0.500
0.334 0.334 0.999
0.919 0.415 0.251
0.585 0.081 0.749
0.139 0.139 0.584
0.861 0.861 0.416
0.000 0.000 0.000
```


- Which of these has the highest ΔH_f (0 K)?
  CaCu9Sn2